(1)
This record from the Alexandria database describes V4Mo4W after structural relaxation. The functional is PBE.

Unit cell a=5.328 b=5.328 c=9.976 alpha=90.00 beta=90.00 gamma=90.00
Atoms (fractional coordinates):
V 0.025 0.250 0.191
V 0.250 0.025 0.691
V 0.250 0.475 0.691
V 0.475 0.250 0.191
V 0.525 0.750 0.809
V 0.750 0.525 0.309
V 0.750 0.975 0.309
V 0.975 0.750 0.809
Mo 0.001 0.750 0.513
Mo 0.250 0.501 0.987
Mo 0.250 0.999 0.987
Mo 0.499 0.750 0.513
Mo 0.501 0.250 0.487
Mo 0.750 0.001 0.013
Mo 0.750 0.499 0.013
Mo 0.999 0.250 0.487
W 0.250 0.750 0.250
W 0.750 0.250 0.750

Output
As for the distance to the lowest polymorph of the same formula: 694 meV/atom. The value obtained for the calculated formation energy is 0.578 eV/atom.

***

(2)
This record from the Alexandria database describes VP2Rh after structural relaxation. The functional is PBE.

Unit cell a=5.376 b=5.376 c=10.176 alpha=90.00 beta=90.00 gamma=90.00
Atoms (fractional coordinates):
V 0.000 0.000 0.000
V 0.000 0.500 0.250
V 0.500 0.000 0.750
V 0.500 0.500 0.500
P 0.246 0.250 0.625
P 0.250 0.746 0.875
P 0.250 0.754 0.375
P 0.254 0.250 0.125
P 0.746 0.750 0.125
P 0.750 0.246 0.375
P 0.750 0.254 0.875
P 0.754 0.750 0.625
Rh 0.000 0.000 0.500
Rh 0.000 0.500 0.750
Rh 0.500 0.000 0.250
Rh 0.500 0.500 0.000

Output
As for the distance to the lowest polymorph of the same formula: 172 meV/atom. The value obtained for the calculated formation energy is -0.221 eV/atom.

***

(3)
This record from the Alexandria database describes TiV3Mo after structural relaxation. The functional is PBE.

Unit cell a=6.838 b=6.838 c=4.843 alpha=90.00 beta=90.00 gamma=137.06
Atoms (fractional coordinates):
Ti 0.184 0.816 0.750
Ti 0.816 0.184 0.250
V 0.000 0.000 0.000
V 0.000 0.000 0.500
V 0.115 0.401 0.750
V 0.401 0.115 0.250
V 0.599 0.885 0.750
V 0.885 0.599 0.250
Mo 0.435 0.565 0.250
Mo 0.565 0.435 0.750

Output
As for the distance to the lowest polymorph of the same formula: 114 meV/atom. The value obtained for the calculated formation energy is 0.329 eV/atom.

***

(4)
This record from the Alexandria database describes AcHo3Ag4 after structural relaxation. The functional is PBE.

Unit cell a=5.246 b=5.246 c=7.426 alpha=90.00 beta=90.00 gamma=90.00
Atoms (fractional coordinates):
Ac 0.000 0.000 0.000
Ho 0.000 0.000 0.500
Ho 0.500 0.500 0.000
Ho 0.500 0.500 0.500
Ag 0.000 0.500 0.274
Ag 0.000 0.500 0.726
Ag 0.500 0.000 0.274
Ag 0.500 0.000 0.726

Output
The value obtained for the calculated formation energy is -0.277 eV/atom.

***

(5)
This record from the Alexandria database describes LiDyBiPb after structural relaxation. The functional is PBE.

Unit cell a=7.569 b=7.569 c=7.569 alpha=90.00 beta=90.00 gamma=90.00
Atoms (fractional coordinates):
Li 0.000 0.000 0.000
Li 0.000 0.500 0.500
Li 0.500 0.000 0.500
Li 0.500 0.500 0.000
Dy 0.000 0.000 0.500
Dy 0.000 0.500 0.000
Dy 0.500 0.000 0.000
Dy 0.500 0.500 0.500
Bi 0.250 0.250 0.250
Bi 0.250 0.750 0.750
Bi 0.750 0.250 0.750
Bi 0.750 0.750 0.250
Pb 0.250 0.250 0.750
Pb 0.250 0.750 0.250
Pb 0.750 0.250 0.250
Pb 0.750 0.750 0.750

Output
The value obtained for the calculated formation energy is -0.346 eV/atom.

***

(6)
This record from the Alexandria database describes Ca3TmU2As6 after structural relaxation. The functional is PBE.

Unit cell a=7.200 b=7.200 c=7.243 alpha=99.53 beta=99.53 gamma=119.99
Atoms (fractional coordinates):
Ca 0.000 0.000 0.000
Ca 0.335 0.665 0.000
Ca 0.665 0.335 0.000
Tm 0.500 0.500 0.500
U 0.167 0.833 0.500
U 0.833 0.167 0.500
As 0.085 0.423 0.270
As 0.238 0.238 0.730
As 0.423 0.085 0.270
As 0.577 0.915 0.730
As 0.762 0.762 0.270
As 0.915 0.577 0.730

Output
The value obtained for the calculated formation energy is -1.096 eV/atom.

***

(7)
This record from the Alexandria database describes Sr2LaBr after structural relaxation. The functional is PBE.

Unit cell a=6.029 b=4.080 c=14.906 alpha=90.00 beta=90.00 gamma=90.00
Atoms (fractional coordinates):
Sr 0.000 0.000 0.000
Sr 0.000 0.500 0.500
Sr 0.500 0.000 0.355
Sr 0.500 0.500 0.855
La 0.000 0.000 0.739
La 0.000 0.500 0.239
Br 0.500 0.000 0.688
Br 0.500 0.500 0.188

Output
The value obtained for the formation energy (no corrections) is -0.4185 eV/atom.

***

(8)
This record from the Alexandria database describes ZrCIN2 after structural relaxation. The functional is PBE.

Unit cell a=4.079 b=4.079 c=6.467 alpha=90.00 beta=90.00 gamma=90.00
Atoms (fractional coordinates):
Zr 0.000 0.000 0.000
C 0.500 0.500 0.500
I 0.000 0.000 0.500
N 0.000 0.500 0.000
N 0.500 0.000 0.000

Output
As for the distance to the lowest polymorph of the same formula: 0 meV/atom. The value obtained for the formation energy (no corrections) is 1.6105 eV/atom.

***

(9)
This record from the Alexandria database describes Na3Tm3GeS8 after structural relaxation. The functional is PBE.

Unit cell a=8.090 b=8.090 c=8.090 alpha=56.93 beta=56.93 gamma=56.93
Atoms (fractional coordinates):
Na 0.000 0.500 0.500
Na 0.500 0.000 0.500
Na 0.500 0.500 0.000
Tm 0.000 0.000 0.500
Tm 0.000 0.500 0.000
Tm 0.500 0.000 0.000
Ge 0.500 0.500 0.500
S 0.241 0.241 0.241
S 0.264 0.723 0.723
S 0.277 0.277 0.736
S 0.277 0.736 0.277
S 0.723 0.264 0.723
S 0.723 0.723 0.264
S 0.736 0.277 0.277
S 0.759 0.759 0.759

Output
The value obtained for the formation energy (no corrections) is -1.4772 eV/atom.

***

(10)
This record from the Alexandria database describes LiAg2O4 after structural relaxation. The functional is PBE.

Unit cell a=5.751 b=11.846 c=3.355 alpha=90.00 beta=90.00 gamma=90.00
Atoms (fractional coordinates):
Li 0.000 0.000 0.000
Li 0.500 0.500 0.000
Ag 0.000 0.262 0.500
Ag 0.000 0.738 0.500
Ag 0.500 0.238 0.500
Ag 0.500 0.762 0.500
O 0.120 0.000 0.500
O 0.250 0.250 0.000
O 0.250 0.750 0.000
O 0.380 0.500 0.500
O 0.620 0.500 0.500
O 0.750 0.250 0.000
O 0.750 0.750 0.000
O 0.880 0.000 0.500

Output
The value obtained for the formation energy (no corrections) is -0.1999 eV/atom.

***

(11)
This record from the Alexandria database describes Ca2AcTlHg4 after structural relaxation. The functional is PBE.

Unit cell a=9.844 b=9.844 c=9.844 alpha=31.63 beta=31.63 gamma=31.63
Atoms (fractional coordinates):
Ca 0.238 0.238 0.238
Ca 0.762 0.762 0.762
Ac 0.000 0.000 0.000
Tl 0.500 0.500 0.500
Hg 0.122 0.122 0.122
Hg 0.379 0.379 0.379
Hg 0.621 0.621 0.621
Hg 0.878 0.878 0.878

Output
The value obtained for the calculated formation energy is -0.431 eV/atom.

***

(12)
This record from the Alexandria database describes La3HfTa after structural relaxation. The functional is PBE.

Unit cell a=5.573 b=5.573 c=5.573 alpha=90.00 beta=90.00 gamma=90.00
Atoms (fractional coordinates):
La 0.000 0.000 0.500
La 0.000 0.500 0.000
La 0.500 0.000 0.000
Hf 0.500 0.500 0.500
Ta 0.000 0.000 0.000

Output
As for the distance to the lowest polymorph of the same formula: 0 meV/atom. The value obtained for the calculated formation energy is 0.943 eV/atom.